# 1
Zr2TlCu | PBE | optimized geometry

## Properties
* energy of formation from the pure elements: 0.35 eV per atom

extended XYZ file:
```
4
Lattice="-0.7185 2.0927 4.4065 -4.5838 0.7988 1.6319 -1.7875 -2.6741 3.7372" Properties=species:S:1:pos:R:3 pbc="T T T"
Cu -3.5449 0.1087 4.8878
Tl -5.3174 0.1631 7.3317
Zr 0.0000 0.0000 0.0000
Zr -1.7725 0.0544 2.4439
```

***

# 2
SmThC4 | PBE | optimized geometry

## Properties
* energy of formation from the pure elements: -0.17 eV per atom

extended XYZ file:
```
6
Lattice="3.7876 0.0000 0.0000 0.0000 3.7864 -0.0156 0.0000 -0.0087 6.3936" Properties=species:S:1:pos:R:3 pbc="T T T"
Sm 1.8938 1.8889 3.1890
Th 0.0000 0.0000 0.0000
C 0.0000 3.7796 3.8330
C 1.8938 1.8885 5.7221
C 1.8938 1.8892 0.6559
C 0.0000 -0.0018 2.5450
```